(1)
Rb2YOs (PBE, relaxed); space group = I-42d; E above lowest polymorph = 0.0 meV per atom
1.0
4.339 0.000 0.000
0.000 4.339 0.000
2.169 2.169 13.091
Os Rb Y
2 4 2
direct
0.000 0.000 0.000 Os
0.750 0.250 0.500 Os
0.632 0.125 0.250 Rb
0.118 0.625 0.250 Rb
0.375 0.368 0.750 Rb
0.875 0.882 0.750 Rb
0.250 0.750 0.500 Y
0.500 0.500 0.000 Y

***

(2)
RbYOs2 (PBE, relaxed); space group = Fm-3m; E above lowest polymorph = 330.4 meV per atom
1.0
0.000 3.514 3.514
3.514 0.000 3.514
3.514 3.514 0.000
Rb Os Y
1 2 1
direct
0.000 0.000 0.000 Rb
0.250 0.250 0.250 Os
0.750 0.750 0.750 Os
0.500 0.500 0.500 Y

***

(3)
RbY2Os (PBE, relaxed); space group = Fm-3m; E above lowest polymorph = 3.0 meV per atom
1.0
3.903 -2.034 2.820
-0.003 -5.093 1.175
3.460 -3.205 -2.255
Y Os Rb
2 1 1
direct
0.750 0.750 0.750 Y
0.250 0.250 0.250 Y
0.500 0.500 0.500 Os
0.000 0.000 0.000 Rb

***

(4)
RbYOs2 (PBE, relaxed); space group = I-42d; E above lowest polymorph = 0.0 meV per atom
1.0
-0.662 -0.921 -4.551
4.401 -1.590 -0.318
-1.296 -10.482 -0.107
Os Y Rb
4 2 2
direct
0.778 0.125 0.250 Os
0.972 0.625 0.250 Os
0.875 0.028 0.750 Os
0.375 0.222 0.750 Os
0.750 0.250 0.500 Y
0.000 0.000 0.000 Y
0.250 0.750 0.500 Rb
0.500 0.500 0.000 Rb

***

(5)
RbYOs3 (PBE, relaxed); space group = Pm-3m; E above lowest polymorph = 427.7 meV per atom
1.0
4.781 0.000 0.000
0.000 4.781 0.000
0.000 0.000 4.781
Os Rb Y
3 1 1
direct
0.500 0.000 0.000 Os
0.000 0.000 0.500 Os
0.000 0.500 0.000 Os
0.000 0.000 0.000 Rb
0.500 0.500 0.500 Y

***

(6)
RbYZr2Os (PBE, relaxed); space group = P4/mmm
1.0
5.093 0.000 0.000
0.000 6.122 0.000
0.000 0.000 5.093
Rb Os Zr Y
1 1 2 1
direct
0.000 0.500 0.000 Rb
0.000 0.000 0.000 Os
0.000 0.000 0.500 Zr
0.500 0.000 0.000 Zr
0.500 0.500 0.500 Y

***

Number 1: formation energy from the elements 1.219 eV/atom, electronic total energy -3.69 eV per atom, V 30.803 Å³/atom. Number 2: formation energy from the elements 1.597 eV/atom, electronic total energy -5.88 eV per atom, V 21.701 Å³/atom. Number 3: formation energy from the elements 0.627 eV/atom, electronic total energy -5.65 eV per atom, V 25.246 Å³/atom. Number 4: formation energy from the elements 1.266 eV/atom, electronic total energy -6.21 eV per atom, V 27.571 Å³/atom. Number 5: formation energy from the elements 3.093 eV/atom, electronic total energy -5.13 eV per atom, V 21.855 Å³/atom. Number 6: formation energy from the elements 0.902 eV/atom, electronic total energy -6.25 eV per atom, V 31.754 Å³/atom.